VASP calculation (PBE) on a geometry-optimized Ni3SnTe structure.

The raw total energy comes out at -0.32183 Ry per atom. The density of states at the Fermi level comes out at 1.41 states/eV per cell. The calculated volume comes out at 20.48 A^3/atom. The formation energy (no corrections) is 0.519 eV/atom. As for the size of the total moment: 0.00 μB per formula unit. Its energy above the lowest structure with this stoichiometry is 0.0000 eV per atom.

Unit cell a=4.678 b=4.678 c=4.678 alpha=90.00 beta=90.00 gamma=90.00
Sites, in units of the cell vectors:
Ni: 0.000 0.000 0.500
Ni: 0.000 0.500 0.000
Ni: 0.500 0.000 0.000
Sn: 0.500 0.500 0.500
Te: 0.000 0.000 0.000


VASP calculation (PBE) on a geometry-optimized Ni2SnTe structure.

The raw total energy comes out at -0.36133 Ry per atom. The density of states at the Fermi level comes out at 9.26 states/eV per cell. The calculated volume comes out at 17.90 A^3/atom. The formation energy (no corrections) is -0.239 eV/atom. As for the size of the total moment: 0.00 μB per formula unit. Its energy above the lowest structure with this stoichiometry is 0.0000 eV per atom.

Unit cell a=8.024 b=6.924 c=5.156 alpha=90.00 beta=90.00 gamma=90.00
Sites, in units of the cell vectors:
Ni: 0.122 0.250 0.000
Ni: 0.122 0.250 0.500
Ni: 0.369 0.750 0.000
Ni: 0.369 0.750 0.500
Ni: 0.631 0.250 0.000
Ni: 0.631 0.250 0.500
Ni: 0.878 0.750 0.000
Ni: 0.878 0.750 0.500
Sn: 0.380 0.089 0.250
Sn: 0.380 0.411 0.750
Sn: 0.620 0.589 0.250
Sn: 0.620 0.911 0.750
Te: 0.131 0.577 0.250
Te: 0.131 0.923 0.750
Te: 0.869 0.077 0.250
Te: 0.869 0.423 0.750


Q: Look up the energy above the lowest structure with this stoichiometry of the first one.
A: 0.0000 eV per atom